No. 1
A relaxed ThHgAu2 crystal, computed with GGA-PBE.

The structure in CIF format:
```
data_ThHgAu2
_chemical_formula_sum 'Th1 Hg1 Au2'
_symmetry_space_group_name_H-M 'P 4/m m m'
_symmetry_Int_Tables_number 123
_symmetry_space_group_name_Hall '-P 4 2'
_cell_length_a 3.616
_cell_length_b 3.616
_cell_length_c 7.136
_cell_angle_alpha 90.00
_cell_angle_beta 90.00
_cell_angle_gamma 90.00
loop_
_atom_site_label
_atom_site_fract_x
_atom_site_fract_y
_atom_site_fract_z
Th1 0.000 0.000 0.000
Hg1 0.000 0.000 0.500
Au1 0.500 0.500 0.259
```

## Properties
ΔE_f ... -1.51 eV per formula unit
M_tot ... 0.0 μB/cell

---

No. 2
A relaxed Ac2AlSi3Pd4 crystal, computed with GGA-PBE.

The structure in CIF format:
```
data_Ac2AlSi3Pd4
_chemical_formula_sum 'Ac2 Al1 Si3 Pd4'
_symmetry_space_group_name_H-M 'P -4 m 2'
_symmetry_Int_Tables_number 115
_symmetry_space_group_name_Hall 'P -4 -2'
_cell_length_a 4.381
_cell_length_b 4.381
_cell_length_c 10.306
_cell_angle_alpha 90.00
_cell_angle_beta 90.00
_cell_angle_gamma 90.00
loop_
_atom_site_label
_atom_site_fract_x
_atom_site_fract_y
_atom_site_fract_z
Ac1 0.000 0.500 0.249
Al1 0.000 0.000 0.500
Si1 0.000 0.500 0.877
Si2 0.500 0.500 0.500
Pd1 0.000 0.000 0.000
Pd2 0.000 0.500 0.630
Pd3 0.500 0.500 0.000
```

## Properties
Energy relative to the elements, uncorrected ... -8.64 eV/f.u.
M_tot ... 0.0 μB/cell

---

No. 3
A relaxed Dy3Tm5Sc crystal, computed with GGA-PBE.

The structure in CIF format:
```
data_Dy3Tm5Sc
_chemical_formula_sum 'Dy12 Tm20 Sc4'
_symmetry_space_group_name_H-M 'C 1 2/m 1'
_symmetry_Int_Tables_number 12
_symmetry_space_group_name_Hall '-C 2y'
_cell_length_a 11.961
_cell_length_b 11.006
_cell_length_c 11.410
_cell_angle_alpha 90.00
_cell_angle_beta 119.93
_cell_angle_gamma 90.00
loop_
_atom_site_label
_atom_site_fract_x
_atom_site_fract_y
_atom_site_fract_z
Dy1 0.000 0.000 0.000
Dy2 0.000 0.000 0.500
Dy3 0.178 0.500 0.240
Dy4 0.218 0.000 0.343
Tm1 0.000 0.284 0.000
Tm2 0.006 0.500 0.372
Tm3 0.175 0.500 0.956
Tm4 0.177 0.257 0.804
Sc1 0.069 0.000 0.790
```

## Properties
ΔE_f ... 5.44 eV per formula unit
M_tot ... 0.0 μB/cell

---

> Which value of M_tot does entry 3 give?

0.0 μB/cell

---

> Which formula does entry 2 have?

Ac2AlSi3Pd4

---

> What is the formula in the second record?

Ac2AlSi3Pd4